Density functional theory data (PBE) for a relaxed structure of K2MgMn.

Output
Crystal system ... tetragonal
ΔE_f ... 3.187 eV/f.u.

a = 9.885 Å, b = 9.885 Å, c = 7.680 Å
α = 49.94°, β = 49.94°, γ = 90.00°
Each line ends with the local moment (μB).
Element x y z (fractional)
K: 0.643 0.125 0.250  0.00
K: 0.107 0.625 0.250  -0.01
K: 0.375 0.357 0.750  0.00
K: 0.875 0.893 0.750  -0.01
Mn: 0.000 0.000 0.000  4.21
Mn: 0.750 0.250 0.500  4.21
Mg: 0.500 0.500 0.000  -0.01
Mg: 0.250 0.750 0.500  -0.01

=====

Density functional theory data (PBE) for a relaxed structure of KMgMn2.

Output
Crystal system ... trigonal
ΔE_f ... 3.176 eV/f.u.

a = 10.967 Å, b = 10.967 Å, c = 10.967 Å
α = 16.35°, β = 16.35°, γ = 16.35°
Each line ends with the local moment (μB).
Element x y z (fractional)
K: 0.250 0.250 0.250  -0.02
Mg: 0.750 0.750 0.750  -0.04
Mn: 0.012 0.012 0.012  3.92
Mn: 0.488 0.488 0.488  3.92

=====

Density functional theory data (PBE) for a relaxed structure of K2MgMn.

Output
Crystal system ... monoclinic
ΔE_f ... 2.834 eV/f.u.

a = 6.664 Å, b = 6.664 Å, c = 3.710 Å
α = 89.86°, β = 89.86°, γ = 115.40°
Each line ends with the local moment (μB).
Element x y z (fractional)
K: 0.000 0.000 0.000  -0.01
K: 0.500 0.500 0.000  -0.01
Mg: 0.500 0.000 0.500  -0.01
Mn: 0.000 0.500 0.500  4.25

=====

Density functional theory data (PBE) for a relaxed structure of KMgMn2.

Output
Crystal system ... tetragonal
ΔE_f ... 3.834 eV/f.u.

a = 5.259 Å, b = 5.259 Å, c = 5.259 Å
α = 123.74°, β = 123.74°, γ = 83.64°
Each line ends with the local moment (μB).
Element x y z (fractional)
K: 0.500 0.500 0.000  -0.01
Mg: 0.750 0.250 0.500  -0.05
Mn: 0.000 0.000 0.000  3.93
Mn: 0.250 0.750 0.500  4.01